[1]
# Ca2H2Pt, relaxed, DFT GGA-PBEsol
# **Energy**: -4.149 eV/atom
# **ρ**: 6.0 g/cm3
data_Ca2H2Pt
_symmetry_space_group_name_H-M 'I 4/m m m'
_symmetry_Int_Tables_number 139
_symmetry_space_group_name_Hall '-I 4 2'
_cell_length_a 3.5510
_cell_length_b 3.5510
_cell_length_c 12.2208
_cell_angle_alpha 90.00
_cell_angle_beta 90.00
_cell_angle_gamma 90.00
loop_
_atom_site_label
_atom_site_fract_x
_atom_site_fract_y
_atom_site_fract_z
Ca1 0.0000 0.0000 0.1408
H1 0.0000 0.5000 0.2500
Pt1 0.0000 0.0000 0.5000



[2]
# Rb2CaH4, relaxed, DFT GGA-PBEsol
# **Energy**: -2.808 eV/atom
# **ρ**: 2.5 g/cm3
data_Rb2CaH4
_symmetry_space_group_name_H-M 'I 4/m m m'
_symmetry_Int_Tables_number 139
_symmetry_space_group_name_Hall '-I 4 2'
_cell_length_a 4.4090
_cell_length_b 4.4090
_cell_length_c 14.4674
_cell_angle_alpha 90.00
_cell_angle_beta 90.00
_cell_angle_gamma 90.00
loop_
_atom_site_label
_atom_site_fract_x
_atom_site_fract_y
_atom_site_fract_z
Rb1 0.0000 0.0000 0.1479
Ca1 0.0000 0.0000 0.5000
H1 0.0000 0.0000 0.3427
H2 0.0000 0.5000 0.0000



Question: What is the formula in the first record?
Answer: Ca2H2Pt